Here is an optimized crystal structure of SrNd4Hg4 from Alexandria. Energies are from PBE.

Total DFT energy (no corrections) in eV/atom: -2.7324
Volume in Å³/atom: 31.598
Formation enthalpy at 0 K in meV per atom: -292
Magnetic moment in Bohr magnetons per cell: 0.000

CIF file:
```
data_SrNd4Hg4
_chemical_formula_sum 'Sr2 Nd8 Hg8'
_cell_length_a 12.0724
_cell_length_b 12.0724
_cell_length_c 3.9024
_cell_angle_alpha 90.00
_cell_angle_beta 90.00
_cell_angle_gamma 90.00
_space_group_name_H-M_alt 'I 4/m'
_space_group_IT_number 87
_space_group_name_Hall '-I 4'
loop_
_atom_site_label
_atom_site_type_symbol
_atom_site_fract_x
_atom_site_fract_y
_atom_site_fract_z
_atom_site_occupancy
Sr1 Sr 0.0000 0.0000 0.0000 1
Nd1 Nd 0.0233 0.3080 0.5000 1
Hg1 Hg 0.1663 0.7975 0.0000 1
```

Here is an optimized crystal structure of SrNd4Hg5 from Alexandria. Energies are from PBE.

Total DFT energy (no corrections) in eV/atom: -2.7121
Volume in Å³/atom: 28.974
Formation enthalpy at 0 K in meV per atom: -486
Magnetic moment in Bohr magnetons per cell: 1.445

CIF file:
```
data_SrNd4Hg5
_chemical_formula_sum 'Sr1 Nd4 Hg5'
_cell_length_a 3.8634
_cell_length_b 3.8634
_cell_length_c 19.4122
_cell_angle_alpha 90.00
_cell_angle_beta 90.00
_cell_angle_gamma 90.00
_space_group_name_H-M_alt 'P 4/m m m'
_space_group_IT_number 123
_space_group_name_Hall '-P 4 2'
loop_
_atom_site_label
_atom_site_type_symbol
_atom_site_fract_x
_atom_site_fract_y
_atom_site_fract_z
_atom_site_occupancy
Sr1 Sr 0.0000 0.0000 0.0000 1
Nd1 Nd 0.0000 0.0000 0.2056 1
Nd2 Nd 0.0000 0.0000 0.4019 1
Hg1 Hg 0.5000 0.5000 0.1111 1
Hg2 Hg 0.5000 0.5000 0.3039 1
Hg3 Hg 0.5000 0.5000 0.5000 1
```

Here is an optimized crystal structure of SrNdHg3 from Alexandria. Energies are from PBE.

Total DFT energy (no corrections) in eV/atom: -1.9308
Volume in Å³/atom: 29.507
Formation enthalpy at 0 K in meV per atom: -460
Magnetic moment in Bohr magnetons per cell: 0.020

CIF file:
```
data_SrNdHg3
_chemical_formula_sum 'Sr4 Nd4 Hg12'
_cell_length_a 3.9469
_cell_length_b 29.9352
_cell_length_c 4.9948
_cell_angle_alpha 90.00
_cell_angle_beta 90.00
_cell_angle_gamma 90.00
_space_group_name_H-M_alt 'C m c m'
_space_group_IT_number 63
_space_group_name_Hall '-C 2c 2'
loop_
_atom_site_label
_atom_site_type_symbol
_atom_site_fract_x
_atom_site_fract_y
_atom_site_fract_z
_atom_site_occupancy
Sr1 Sr 0.0000 0.0762 0.2500 1
Nd1 Nd 0.0000 0.2096 0.7500 1
Hg1 Hg 0.0000 0.3172 0.7500 1
Hg2 Hg 0.0000 0.3767 0.2500 1
Hg3 Hg 0.0000 0.4746 0.2500 1
```

Here is an optimized crystal structure of Sr3NdHg12 from Alexandria. Energies are from PBE.

Total DFT energy (no corrections) in eV/atom: -1.2155
Volume in Å³/atom: 27.988
Formation enthalpy at 0 K in meV per atom: -376
Magnetic moment in Bohr magnetons per cell: 0.000

CIF file:
```
data_Sr3NdHg12
_chemical_formula_sum 'Sr3 Nd1 Hg12'
_cell_length_a 4.8201
_cell_length_b 4.8201
_cell_length_c 19.2748
_cell_angle_alpha 90.00
_cell_angle_beta 90.00
_cell_angle_gamma 90.00
_space_group_name_H-M_alt 'P 4/m m m'
_space_group_IT_number 123
_space_group_name_Hall '-P 4 2'
loop_
_atom_site_label
_atom_site_type_symbol
_atom_site_fract_x
_atom_site_fract_y
_atom_site_fract_z
_atom_site_occupancy
Sr1 Sr 0.0000 0.0000 0.0000 1
Sr2 Sr 0.0000 0.0000 0.2529 1
Nd1 Nd 0.0000 0.0000 0.5000 1
Hg1 Hg 0.0000 0.5000 0.1265 1
Hg2 Hg 0.0000 0.5000 0.3820 1
Hg3 Hg 0.5000 0.5000 0.0000 1
Hg4 Hg 0.5000 0.5000 0.2552 1
Hg5 Hg 0.5000 0.5000 0.5000 1
```

Here is an optimized crystal structure of SrNd5Hg6 from Alexandria. Energies are from PBE.

Total DFT energy (no corrections) in eV/atom: -2.7520
Volume in Å³/atom: 28.804
Formation enthalpy at 0 K in meV per atom: -474
Magnetic moment in Bohr magnetons per cell: 2.845

CIF file:
```
data_SrNd5Hg6
_chemical_formula_sum 'Sr2 Nd10 Hg12'
_cell_length_a 5.4556
_cell_length_b 16.3539
_cell_length_c 7.7481
_cell_angle_alpha 90.00
_cell_angle_beta 90.00
_cell_angle_gamma 90.00
_space_group_name_H-M_alt 'C m m m'
_space_group_IT_number 65
_space_group_name_Hall '-C 2 2'
loop_
_atom_site_label
_atom_site_type_symbol
_atom_site_fract_x
_atom_site_fract_y
_atom_site_fract_z
_atom_site_occupancy
Sr1 Sr 0.0000 0.0000 0.0000 1
Nd1 Nd 0.0000 0.0000 0.5000 1
Nd2 Nd 0.0000 0.3343 0.0000 1
Nd3 Nd 0.0000 0.3346 0.5000 1
Hg1 Hg 0.0000 0.1704 0.2534 1
Hg2 Hg 0.0000 0.5000 0.2572 1
```

Here is an optimized crystal structure of SrNd3Hg4 from Alexandria. Energies are from PBE.

Total DFT energy (no corrections) in eV/atom: -2.6278
Volume in Å³/atom: 29.042
Formation enthalpy at 0 K in meV per atom: -479
Magnetic moment in Bohr magnetons per cell: 0.507

CIF file:
```
data_SrNd3Hg4
_chemical_formula_sum 'Sr1 Nd3 Hg4'
_cell_length_a 5.4485
_cell_length_b 5.4485
_cell_length_c 7.8264
_cell_angle_alpha 90.00
_cell_angle_beta 90.00
_cell_angle_gamma 90.00
_space_group_name_H-M_alt 'P 4/m m m'
_space_group_IT_number 123
_space_group_name_Hall '-P 4 2'
loop_
_atom_site_label
_atom_site_type_symbol
_atom_site_fract_x
_atom_site_fract_y
_atom_site_fract_z
_atom_site_occupancy
Sr1 Sr 0.0000 0.0000 0.0000 1
Nd1 Nd 0.0000 0.0000 0.5000 1
Nd2 Nd 0.5000 0.5000 0.0000 1
Nd3 Nd 0.5000 0.5000 0.5000 1
Hg1 Hg 0.0000 0.5000 0.2570 1
```

Here is an optimized crystal structure of SrNd2Hg6 from Alexandria. Energies are from PBE.

Total DFT energy (no corrections) in eV/atom: -1.8847
Volume in Å³/atom: 26.635
Formation enthalpy at 0 K in meV per atom: -437
Magnetic moment in Bohr magnetons per cell: 0.004

CIF file:
```
data_SrNd2Hg6
_chemical_formula_sum 'Sr1 Nd2 Hg6'
_cell_length_a 8.8064
_cell_length_b 8.8064
_cell_length_c 3.5692
_cell_angle_alpha 90.00
_cell_angle_beta 90.00
_cell_angle_gamma 120.00
_space_group_name_H-M_alt 'P 6/m m m'
_space_group_IT_number 191
_space_group_name_Hall '-P 6 2'
loop_
_atom_site_label
_atom_site_type_symbol
_atom_site_fract_x
_atom_site_fract_y
_atom_site_fract_z
_atom_site_occupancy
Sr1 Sr 0.0000 0.0000 0.0000 1
Nd1 Nd 0.3333 0.6667 0.0000 1
Hg1 Hg 0.0000 0.3347 0.5000 1
```

Here is an optimized crystal structure of SrNdTlHg from Alexandria. Energies are from PBE.

Total DFT energy (no corrections) in eV/atom: -2.7186
Volume in Å³/atom: 30.940
Formation enthalpy at 0 K in meV per atom: -439
Magnetic moment in Bohr magnetons per cell: 0.000

CIF file:
```
data_SrNdTlHg
_chemical_formula_sum 'Sr4 Nd4 Tl4 Hg4'
_cell_length_a 7.9107
_cell_length_b 7.9107
_cell_length_c 7.9107
_cell_angle_alpha 90.00
_cell_angle_beta 90.00
_cell_angle_gamma 90.00
_space_group_name_H-M_alt 'F -4 3 m'
_space_group_IT_number 216
_space_group_name_Hall 'F -4 2 3'
loop_
_atom_site_label
_atom_site_type_symbol
_atom_site_fract_x
_atom_site_fract_y
_atom_site_fract_z
_atom_site_occupancy
Sr1 Sr 0.0000 0.0000 0.0000 1
Nd1 Nd 0.0000 0.0000 0.5000 1
Tl1 Tl 0.2500 0.2500 0.7500 1
Hg1 Hg 0.2500 0.2500 0.2500 1
```

Here is an optimized crystal structure of SrNd2Tl2Hg2 from Alexandria. Energies are from PBE.

Total DFT energy (no corrections) in eV/atom: -2.6540
Volume in Å³/atom: 31.180
Formation enthalpy at 0 K in meV per atom: -289
Magnetic moment in Bohr magnetons per cell: 0.000

CIF file:
```
data_SrNd2Tl2Hg2
_chemical_formula_sum 'Sr3 Nd6 Tl6 Hg6'
_cell_length_a 5.1188
_cell_length_b 5.1188
_cell_length_c 28.8554
_cell_angle_alpha 90.00
_cell_angle_beta 90.00
_cell_angle_gamma 120.00
_space_group_name_H-M_alt 'R -3 m'
_space_group_IT_number 166
_space_group_name_Hall '-R 3 2"'
loop_
_atom_site_label
_atom_site_type_symbol
_atom_site_fract_x
_atom_site_fract_y
_atom_site_fract_z
_atom_site_occupancy
Sr1 Sr 0.0000 0.0000 0.0000 1
Nd1 Nd 0.0000 0.0000 0.1361 1
Tl1 Tl 0.0000 0.0000 0.2636 1
Hg1 Hg 0.0000 0.0000 0.4388 1
```

Here is an optimized crystal structure of SrNdZnHg from Alexandria. Energies are from PBE.

Total DFT energy (no corrections) in eV/atom: -2.3524
Volume in Å³/atom: 28.467
Excess energy over the best structure of this formula in the dataset in meV/atom: 24.9
Formation enthalpy at 0 K in meV per atom: -346
Magnetic moment in Bohr magnetons per cell: 0.000

CIF file:
```
data_SrNdZnHg
_chemical_formula_sum 'Sr4 Nd4 Zn4 Hg4'
_cell_length_a 7.6940
_cell_length_b 7.6940
_cell_length_c 7.6940
_cell_angle_alpha 90.00
_cell_angle_beta 90.00
_cell_angle_gamma 90.00
_space_group_name_H-M_alt 'F -4 3 m'
_space_group_IT_number 216
_space_group_name_Hall 'F -4 2 3'
loop_
_atom_site_label
_atom_site_type_symbol
_atom_site_fract_x
_atom_site_fract_y
_atom_site_fract_z
_atom_site_occupancy
Sr1 Sr 0.0000 0.0000 0.0000 1
Nd1 Nd 0.0000 0.0000 0.5000 1
Zn1 Zn 0.2500 0.2500 0.7500 1
Hg1 Hg 0.2500 0.2500 0.2500 1
```